*w*
Entry from Alexandria via LeMat-Bulk: an optimized crystal structure of CaCrO2 (GGA+U).

The structure in CIF format:
```
data_CaCrO2
_chemical_formula_sum 'Ca4 Cr4 O8'
_cell_length_a 5.522
_cell_length_b 5.522
_cell_length_c 5.522
_cell_angle_alpha 90.00
_cell_angle_beta 90.00
_cell_angle_gamma 90.00
_symmetry_space_group_name_H-M 'F m -3 m'
_symmetry_Int_Tables_number 225
_symmetry_space_group_name_Hall '-F 4 2 3'
loop_
_atom_site_label
_atom_site_type_symbol
_atom_site_fract_x
_atom_site_fract_y
_atom_site_fract_z
Ca1 Ca 0.000 0.000 0.000
Cr1 Cr 0.000 0.000 0.500
O1 O 0.250 0.250 0.250
```

=====

*x*
Entry from Alexandria via LeMat-Bulk: an optimized crystal structure of CaCrO2 (GGA+U).

The structure in CIF format:
```
data_CaCrO2
_chemical_formula_sum 'Ca4 Cr4 O8'
_cell_length_a 3.110
_cell_length_b 9.021
_cell_length_c 9.376
_cell_angle_alpha 84.75
_cell_angle_beta 80.50
_cell_angle_gamma 80.18
_symmetry_space_group_name_H-M 'P -1'
_symmetry_Int_Tables_number 2
_symmetry_space_group_name_Hall '-P 1'
loop_
_atom_site_label
_atom_site_type_symbol
_atom_site_fract_x
_atom_site_fract_y
_atom_site_fract_z
Ca1 Ca 0.090 0.138 0.184
Ca2 Ca 0.358 0.224 0.558
Cr1 Cr 0.227 0.181 0.865
Cr2 Cr 0.366 0.456 0.311
O1 O 0.084 0.706 0.629
O2 O 0.163 0.895 0.282
O3 O 0.192 0.402 0.715
O4 O 0.349 0.817 0.985
```

=====

*y*
Entry from Alexandria via LeMat-Bulk: an optimized crystal structure of CaCrO2 (GGA+U).

The structure in CIF format:
```
data_CaCrO2
_chemical_formula_sum 'Ca4 Cr4 O8'
_cell_length_a 8.071
_cell_length_b 3.111
_cell_length_c 9.138
_cell_angle_alpha 90.00
_cell_angle_beta 93.18
_cell_angle_gamma 90.00
_symmetry_space_group_name_H-M 'P 1 21/m 1'
_symmetry_Int_Tables_number 11
_symmetry_space_group_name_Hall '-P 2yb'
loop_
_atom_site_label
_atom_site_type_symbol
_atom_site_fract_x
_atom_site_fract_y
_atom_site_fract_z
Ca1 Ca 0.185 0.250 0.107
Ca2 Ca 0.189 0.750 0.465
Cr1 Cr 0.113 0.250 0.774
Cr2 Cr 0.490 0.750 0.689
O1 O 0.010 0.250 0.345
O2 O 0.153 0.750 0.922
O3 O 0.336 0.250 0.613
O4 O 0.347 0.750 0.248
```

=====

*z*
Entry from Alexandria via LeMat-Bulk: an optimized crystal structure of CaCrO2 (GGA+U).

The structure in CIF format:
```
data_CaCrO2
_chemical_formula_sum 'Ca8 Cr8 O16'
_cell_length_a 6.243
_cell_length_b 6.243
_cell_length_c 10.772
_cell_angle_alpha 90.00
_cell_angle_beta 90.00
_cell_angle_gamma 90.00
_symmetry_space_group_name_H-M 'I 41/a m d'
_symmetry_Int_Tables_number 141
loop_
_symmetry_equiv_pos_as_xyz
'x,y,z'
'-x,-y,-z'
'-y+1/4,x+3/4,z+1/4'
'y+1/4,-x+3/4,-z+1/4'
'-x+1/2,-y,z+1/2'
'x+1/2,y,-z+1/2'
'y+1/4,-x+1/4,z+3/4'
'-y+1/4,x+1/4,-z+3/4'
'x,-y,-z'
'-x,y,z'
'-y+1/4,-x+1/4,-z+3/4'
'y+1/4,x+1/4,z+3/4'
'-x+1/2,y,-z+1/2'
'x+1/2,-y,z+1/2'
'y+1/4,x+3/4,-z+1/4'
'-y+1/4,-x+3/4,z+1/4'
'x+1/2,y+1/2,z+1/2'
'-x+1/2,-y+1/2,-z+1/2'
'-y+3/4,x+1/4,z+3/4'
'y+3/4,-x+1/4,-z+3/4'
'-x,-y+1/2,z'
'x,y+1/2,-z'
'y+3/4,-x+3/4,z+1/4'
'-y+3/4,x+3/4,-z+1/4'
'x+1/2,-y+1/2,-z+1/2'
'-x+1/2,y+1/2,z+1/2'
'-y+3/4,-x+3/4,-z+1/4'
'y+3/4,x+3/4,z+1/4'
'-x,y+1/2,-z'
'x,-y+1/2,z'
'y+3/4,x+1/4,-z+3/4'
'-y+3/4,-x+1/4,z+3/4'
loop_
_atom_site_label
_atom_site_type_symbol
_atom_site_fract_x
_atom_site_fract_y
_atom_site_fract_z
Ca1 Ca 0.000 0.000 0.000
Cr1 Cr 0.000 0.000 0.500
O1 O 0.000 0.027 0.225
```

=====

The structure shown above that is least stable: *w*.